CaHgRh: PBEsol geometry, meta-GGA SCAN.

Structure (CIF):
```
data_CaHgRh
_space_group_name_H-M_alt 'P -6 m 2'
_space_group_IT_number 187
_space_group_name_Hall 'P -6 2'
_cell_length_a 4.6523
_cell_length_b 4.6523
_cell_length_c 3.3055
_cell_angle_alpha 90.00
_cell_angle_beta 90.00
_cell_angle_gamma 120.00
loop_
_atom_site_label
_atom_site_fract_x
_atom_site_fract_y
_atom_site_fract_z
Ca1 0.0000 0.0000 0.0000
Hg1 0.6667 0.3333 0.5000
Rh1 0.3333 0.6667 0.5000
```

Results
Fermi-level density of states ... 1.36 states/eV/f.u.
Formation energy ... -0.355 eV/atom


Na2Bi5AuO11: PBEsol geometry, meta-GGA SCAN.

Structure (CIF):
```
data_Na2Bi5AuO11
_space_group_name_H-M_alt 'P 4/m b m'
_space_group_IT_number 127
_space_group_name_Hall '-P 4 2ab'
_cell_length_a 12.255
_cell_length_b 12.255
_cell_length_c 3.882
_cell_angle_alpha 90.00
_cell_angle_beta 90.00
_cell_angle_gamma 90.00
loop_
_atom_site_label
_atom_site_fract_x
_atom_site_fract_y
_atom_site_fract_z
Na1 0.206 0.294 0.000
Bi1 0.000 0.500 0.000
Bi2 0.047 0.771 0.500
Au1 0.000 0.000 0.000
O1 0.000 0.500 0.500
O2 0.003 0.327 0.000
O3 0.110 0.879 0.000
O4 0.211 0.711 0.500
```

Results
Raw formation energy ... -1.04 eV per atom


Zr2PbSe: PBEsol geometry, meta-GGA SCAN.

Structure (CIF):
```
data_Zr2PbSe
_space_group_name_H-M_alt 'P 4/m m m'
_space_group_IT_number 123
_space_group_name_Hall '-P 4 2'
_cell_length_a 3.296
_cell_length_b 3.296
_cell_length_c 7.558
_cell_angle_alpha 90.00
_cell_angle_beta 90.00
_cell_angle_gamma 90.00
loop_
_atom_site_label
_atom_site_fract_x
_atom_site_fract_y
_atom_site_fract_z
Zr1 0.000 0.000 0.214
Pb1 0.500 0.500 0.500
Se1 0.500 0.500 0.000
```

Results
Fermi-level density of states ... 1.46 states/eV/f.u.
Raw formation energy ... -0.78 eV per atom


KP2: PBEsol geometry, meta-GGA SCAN.

Structure (CIF):
```
data_KP2
_space_group_name_H-M_alt 'P -3 m 1'
_space_group_IT_number 164
_space_group_name_Hall '-P 3 2"'
_cell_length_a 3.8078
_cell_length_b 3.8078
_cell_length_c 5.6030
_cell_angle_alpha 90.00
_cell_angle_beta 90.00
_cell_angle_gamma 120.00
loop_
_atom_site_label
_atom_site_fract_x
_atom_site_fract_y
_atom_site_fract_z
K1 0.0000 0.0000 0.0000
P1 0.3333 0.6667 0.4284
```

Results
Fermi-level density of states ... 0.87 states/eV/f.u.
Formation energy ... -0.138 eV/atom


BaPtN2O: PBEsol geometry, meta-GGA SCAN.

Structure (CIF):
```
data_BaPtN2O
_space_group_name_H-M_alt 'P 4/m m m'
_space_group_IT_number 123
_space_group_name_Hall '-P 4 2'
_cell_length_a 3.852
_cell_length_b 3.852
_cell_length_c 4.685
_cell_angle_alpha 90.00
_cell_angle_beta 90.00
_cell_angle_gamma 90.00
loop_
_atom_site_label
_atom_site_fract_x
_atom_site_fract_y
_atom_site_fract_z
Ba1 0.000 0.000 0.000
Pt1 0.500 0.500 0.500
N1 0.000 0.500 0.500
O1 0.500 0.500 0.000
```

Results
Fermi-level density of states ... 2.64 states/eV/f.u.
Raw formation energy ... -0.14 eV per atom


BaFeAg2: PBEsol geometry, meta-GGA SCAN.

Structure (CIF):
```
data_BaFeAg2
_space_group_name_H-M_alt 'C 1 m 1'
_space_group_IT_number 8
_space_group_name_Hall 'C -2y'
_cell_length_a 7.843
_cell_length_b 4.526
_cell_length_c 6.160
_cell_angle_alpha 90.00
_cell_angle_beta 115.02
_cell_angle_gamma 90.00
loop_
_atom_site_label
_atom_site_fract_x
_atom_site_fract_y
_atom_site_fract_z
Ba1 0.000 0.000 0.000
Fe1 0.313 0.500 0.440
Ag1 0.192 0.000 0.577
Ag2 0.487 0.000 0.461
```

Results
Fermi-level density of states ... 2.29 states/eV/f.u.
Formation energy ... 0.132 eV/atom


Sb11S18: PBEsol geometry, meta-GGA SCAN.

Structure (CIF):
```
data_Sb11S18
_space_group_name_H-M_alt 'P 1'
_space_group_IT_number 1
_space_group_name_Hall 'P 1'
_cell_length_a 6.631
_cell_length_b 7.636
_cell_length_c 14.860
_cell_angle_alpha 104.77
_cell_angle_beta 92.10
_cell_angle_gamma 106.59
loop_
_atom_site_label
_atom_site_fract_x
_atom_site_fract_y
_atom_site_fract_z
Sb1 0.000 0.000 0.000
Sb2 0.000 0.497 0.999
Sb3 0.187 0.923 0.264
Sb4 0.422 0.787 0.861
Sb5 0.423 0.289 0.866
Sb6 0.579 0.213 0.141
Sb7 0.579 0.710 0.139
Sb8 0.787 0.538 0.678
Sb9 0.795 0.038 0.675
Sb10 0.804 0.661 0.444
Sb11 0.809 0.187 0.452
S1 0.014 0.801 0.601
S2 0.023 0.312 0.606
S3 0.035 0.447 0.391
S4 0.096 0.986 0.427
S5 0.134 0.450 0.834
S6 0.138 0.951 0.831
S7 0.271 0.345 0.064
S8 0.283 0.852 0.061
S9 0.451 0.248 0.297
S10 0.453 0.763 0.296
S11 0.486 0.722 0.695
S12 0.488 0.223 0.701
S13 0.568 0.913 0.523
S14 0.571 0.399 0.521
S15 0.722 0.148 0.936
S16 0.722 0.647 0.936
S17 0.847 0.555 0.188
S18 0.857 0.047 0.177
```

Results
Fermi-level density of states ... 12.00 states/eV/f.u.
Raw formation energy ... -0.16 eV per atom


Ta2InS: PBEsol geometry, meta-GGA SCAN.

Structure (CIF):
```
data_Ta2InS
_space_group_name_H-M_alt 'F m -3 m'
_space_group_IT_number 225
_space_group_name_Hall '-F 4 2 3'
_cell_length_a 6.466
_cell_length_b 6.466
_cell_length_c 6.466
_cell_angle_alpha 90.00
_cell_angle_beta 90.00
_cell_angle_gamma 90.00
loop_
_atom_site_label
_atom_site_fract_x
_atom_site_fract_y
_atom_site_fract_z
Ta1 0.250 0.250 0.250
In1 0.000 0.000 0.000
S1 0.000 0.000 0.500
```

Results
Fermi-level density of states ... 4.36 states/eV/f.u.
Raw formation energy ... 0.34 eV per atom


HfTlGe3: PBEsol geometry, meta-GGA SCAN.

Structure (CIF):
```
data_HfTlGe3
_space_group_name_H-M_alt 'P m -3 m'
_space_group_IT_number 221
_space_group_name_Hall '-P 4 2 3'
_cell_length_a 5.123
_cell_length_b 5.123
_cell_length_c 5.123
_cell_angle_alpha 90.00
_cell_angle_beta 90.00
_cell_angle_gamma 90.00
loop_
_atom_site_label
_atom_site_fract_x
_atom_site_fract_y
_atom_site_fract_z
Hf1 0.000 0.000 0.000
Tl1 0.500 0.500 0.500
Ge1 0.000 0.000 0.500
```

Results
Fermi-level density of states ... 1.92 states/eV/f.u.
Formation energy ... 0.323 eV/atom


SrCoAsBr2: PBEsol geometry, meta-GGA SCAN.

Structure (CIF):
```
data_SrCoAsBr2
_space_group_name_H-M_alt 'P 4/m m m'
_space_group_IT_number 123
_space_group_name_Hall '-P 4 2'
_cell_length_a 5.040
_cell_length_b 5.040
_cell_length_c 4.515
_cell_angle_alpha 90.00
_cell_angle_beta 90.00
_cell_angle_gamma 90.00
loop_
_atom_site_label
_atom_site_fract_x
_atom_site_fract_y
_atom_site_fract_z
Sr1 0.000 0.000 0.000
Co1 0.500 0.500 0.500
As1 0.500 0.500 0.000
Br1 0.000 0.500 0.500
```

Results
Fermi-level density of states ... 3.46 states/eV/f.u.
Raw formation energy ... -0.61 eV per atom


Ba2SrSn2: PBEsol geometry, meta-GGA SCAN.

Structure (CIF):
```
data_Ba2SrSn2
_space_group_name_H-M_alt 'I 4/m m m'
_space_group_IT_number 139
_space_group_name_Hall '-I 4 2'
_cell_length_a 6.077
_cell_length_b 6.077
_cell_length_c 11.544
_cell_angle_alpha 90.00
_cell_angle_beta 90.00
_cell_angle_gamma 90.00
loop_
_atom_site_label
_atom_site_fract_x
_atom_site_fract_y
_atom_site_fract_z
Ba1 0.000 0.000 0.147
Sr1 0.000 0.000 0.500
Sn1 0.000 0.500 0.250
```

Results
Fermi-level density of states ... 2.29 states/eV/f.u.
Formation energy ... -0.258 eV/atom


MgTa2Te: PBEsol geometry, meta-GGA SCAN.

Structure (CIF):
```
data_MgTa2Te
_space_group_name_H-M_alt 'I 4/m m m'
_space_group_IT_number 139
_space_group_name_Hall '-I 4 2'
_cell_length_a 4.051
_cell_length_b 4.051
_cell_length_c 9.160
_cell_angle_alpha 90.00
_cell_angle_beta 90.00
_cell_angle_gamma 90.00
loop_
_atom_site_label
_atom_site_fract_x
_atom_site_fract_y
_atom_site_fract_z
Mg1 0.000 0.000 0.000
Ta1 0.000 0.500 0.250
Te1 0.000 0.000 0.500
```

Results
Fermi-level density of states ... 3.71 states/eV/f.u.
Raw formation energy ... 0.34 eV per atom


AgTe2NCl: PBEsol geometry, meta-GGA SCAN.

Structure (CIF):
```
data_AgTe2NCl
_space_group_name_H-M_alt 'P 4/m m m'
_space_group_IT_number 123
_space_group_name_Hall '-P 4 2'
_cell_length_a 5.827
_cell_length_b 5.827
_cell_length_c 3.283
_cell_angle_alpha 90.00
_cell_angle_beta 90.00
_cell_angle_gamma 90.00
loop_
_atom_site_label
_atom_site_fract_x
_atom_site_fract_y
_atom_site_fract_z
Ag1 0.000 0.000 0.000
Te1 0.000 0.500 0.500
N1 0.500 0.500 0.000
Cl1 0.500 0.500 0.500
```

Results
Fermi-level density of states ... 3.39 states/eV/f.u.
Raw formation energy ... 1.36 eV per atom


What electronic total energy values result from the calculations? In sequence: -37.5549 -29.4129 -40.0988 -9.8471 -27.0529 -29.9712 -20.2682 -43.7074 -38.1362 -20.3505 -34.9018 -43.5075 -23.2644 eV per atom.
What size of the total moment values result from the calculations? In sequence: 0.0 0.0 0.0 0.0 0.0 2.7 0.0 0.0 0.0 0.0 0.0 0.0 0.0 μB per formula unit.